TiMoNO2 | the Alexandria database | PBE with a Hubbard U | optimized geometry; volume = 11.8 Å³ per atom; E = -7.71 eV per atom
1.0
-1.668 -3.344 -0.236
2.998 -1.606 1.564
-1.688 0.572 3.823
Mo N O Ti
1 1 2 1
direct
0.500 0.500 0.500
0.000 0.000 0.500
0.000 0.500 0.000
0.500 0.000 0.000
0.000 0.000 0.000